1.
20
Lattice="-0.378 -5.031 1.910 2.596 -2.510 -6.098 5.838 1.036 3.882" Properties=species:S:1:pos:R:3 comment="Tb3GaO6 | Alexandria via LeMat-Bulk | PBEsol | relaxed" e_tot_ev_per_atom=-8.20 raw_formation_energy_ev_per_fu=-32.1 dos_ef_per_ev_atom=0.000 pbc="T T T"
Tb 3.536 -5.734 -0.374
Tb 4.391 -2.491 0.720
Tb 6.786 -5.691 1.114
Tb 1.104 -3.017 -0.584
Tb 1.600 -4.785 2.477
Tb 6.291 -3.924 -1.947
Ga 3.031 -4.343 -3.221
Ga 5.214 0.352 1.960
O 3.236 -2.563 -3.626
O 4.886 -3.068 2.988
O 2.476 -5.612 -4.492
O 5.661 0.180 3.778
O 5.354 -4.420 0.021
O 2.743 -1.543 -0.534
O 2.655 -3.948 0.731
O 5.442 -2.014 -1.243
O 3.582 -0.562 1.948
O 4.529 -5.224 -2.527
O 6.253 -1.029 1.246
O 1.857 -4.757 -1.825

=====

2.
5
Lattice="-0.259 -3.740 0.984 2.403 0.618 2.979 -6.477 3.004 2.079" Properties=species:S:1:pos:R:3 comment="Ga2Te2O | Alexandria via LeMat-Bulk | PBEsol | relaxed" e_tot_ev_per_atom=-3.51 raw_formation_energy_ev_per_fu=1.5 dos_ef_per_ev_atom=0.333 pbc="T T T"
Te -4.240 1.132 3.185
Te -0.093 -1.250 2.857
O 0.000 0.000 0.000
Ga -1.501 1.030 3.520
Ga -2.832 -1.149 2.522

=====

3.
8
Lattice="5.292 0.000 0.000 -2.646 5.102 0.011 0.000 -2.755 4.519" Properties=species:S:1:pos:R:3 comment="GaTeO2 | Alexandria via LeMat-Bulk | PBEsol | relaxed" e_tot_ev_per_atom=-5.24 raw_formation_energy_ev_per_fu=-3.6 dos_ef_per_ev_atom=0.274 pbc="T T T"
Te 0.000 0.484 3.395
Te 0.000 0.000 0.000
O 1.968 0.242 1.697
O 3.324 -1.135 3.957
O -1.323 2.440 2.282
O 1.323 3.146 1.124
Ga 2.646 1.862 1.135
Ga 2.646 -1.378 2.259

=====

4.
38
Lattice="-3.532 -7.106 -4.395 9.024 -0.836 0.380 -3.325 0.322 8.434" Properties=species:S:1:pos:R:3 comment="ZnGa2Te4O12 | Alexandria via LeMat-Bulk | PBEsol | relaxed" e_tot_ev_per_atom=-5.81 raw_formation_energy_ev_per_fu=-25.1 dos_ef_per_ev_atom=0.000 pbc="T T T"
Zn 2.850 -0.257 4.407
Zn -2.004 -3.520 4.223
Ga 5.946 -1.525 0.765
Ga 3.821 -6.802 1.831
Ga 1.272 -2.855 0.577
Ga 5.646 -5.215 -2.389
Te 0.733 -5.559 2.506
Te -1.931 -3.852 0.852
Te 3.941 -3.754 3.325
Te 4.441 -2.332 6.562
Te 2.382 -5.867 -1.710
Te -0.288 -0.287 3.130
Te -0.058 -1.766 6.371
Te -0.551 -7.061 -3.360
O -0.255 -5.692 0.880
O -1.082 -3.856 2.560
O -3.878 -3.099 4.412
O 3.375 -2.013 5.011
O 3.211 -7.444 -2.452
O 4.122 -6.902 0.006
O -0.990 -0.180 6.953
O 4.167 -1.292 0.304
O 4.705 -5.316 2.452
O 6.068 -3.102 1.700
O 3.447 -0.998 7.570
O 1.989 -6.917 1.903
O 1.682 -1.324 1.507
O -2.783 -6.001 -2.143
O 3.866 -4.765 -2.318
O 2.045 -3.214 -1.050
O 6.558 -4.040 -1.285
O -0.520 -2.758 0.117
O 1.838 -4.164 1.760
O 2.634 -4.857 4.219
O -1.165 -1.889 4.822
O 0.930 -0.326 4.597
O 0.285 -7.207 -1.651
O -1.891 -5.238 5.096

=====

5.
20
Lattice="5.288 0.000 0.000 0.000 5.425 0.000 0.000 0.000 7.763" Properties=species:S:1:pos:R:3 comment="TlGaO3 | Alexandria via LeMat-Bulk | PBEsol | relaxed" e_tot_ev_per_atom=-5.61 raw_formation_energy_ev_per_fu=-6.3 pbc="T T T"
Tl 0.095 5.161 5.822
Tl 2.549 2.448 5.822
Tl 2.739 2.977 1.941
Tl 5.193 0.264 1.941
Ga 0.000 2.713 0.000
Ga 0.000 2.713 3.881
Ga 2.644 0.000 0.000
Ga 2.644 0.000 3.881
O 0.593 2.446 1.941
O 1.062 1.109 4.353
O 1.062 1.109 7.291
O 1.582 3.821 4.353
O 1.582 3.821 7.291
O 2.051 5.158 1.941
O 3.237 0.267 5.822
O 3.706 1.604 0.472
O 3.706 1.604 3.410
O 4.226 4.317 0.472
O 4.226 4.317 3.410
O 4.695 2.980 5.822

=====

6.
16
Lattice="-3.628 3.292 -0.852 -0.027 -4.589 -3.107 -2.813 -1.523 6.093" Properties=species:S:1:pos:R:3 comment="VGa2O5 | Alexandria via LeMat-Bulk | PBEsol | relaxed" e_tot_ev_per_atom=-7.33 raw_formation_energy_ev_per_fu=-16.1 dos_ef_per_ev_atom=0.272 pbc="T T T"
V -1.407 -0.761 3.046
V 0.000 0.000 0.000
Ga -4.355 -0.273 3.050
Ga -2.966 0.505 -0.001
Ga -3.502 -3.325 2.135
Ga -2.113 -2.547 -0.916
O -5.021 1.500 3.886
O -1.419 0.269 1.355
O -4.210 -0.875 4.910
O -4.022 0.993 1.577
O -2.446 -3.813 0.557
O -2.258 -1.945 -2.776
O -3.019 -1.556 2.524
O -5.936 -1.046 2.403
O -0.533 -1.774 -0.269
O -3.449 -1.264 -0.390

=====

Total magnetization, record by record: 0.000 0.002 0.000 0.001 0.001 2.000 μB/cell